Record 1
{"formula": "La3HgPd12", "functional": "PBE", "state": "relaxed", "cell": [[4.204, 0.000, 0.000], [0.000, 4.204, 0.000], [0.000, 0.000, 16.662]], "species": ["La", "La", "La", "Hg", "Pd", "Pd", "Pd", "Pd", "Pd", "Pd", "Pd", "Pd", "Pd", "Pd", "Pd", "Pd"], "frac_coords": [[0.000, 0.000, 0.000], [0.000, 0.000, 0.258], [0.000, 0.000, 0.742], [0.000, 0.000, 0.500], [0.000, 0.500, 0.127], [0.000, 0.500, 0.382], [0.000, 0.500, 0.618], [0.000, 0.500, 0.873], [0.500, 0.000, 0.127], [0.500, 0.000, 0.382], [0.500, 0.000, 0.618], [0.500, 0.000, 0.873], [0.500, 0.500, 0.000], [0.500, 0.500, 0.254], [0.500, 0.500, 0.500], [0.500, 0.500, 0.746]], "spacegroup": "P4/mmm (123)"}

***

Record 2
{"formula": "LaHg4Pd4", "functional": "PBE", "state": "relaxed", "cell": [[8.770, 0.000, 0.000], [0.000, 8.770, 0.000], [0.000, 0.000, 5.503]], "species": ["La", "La", "Hg", "Hg", "Hg", "Hg", "Hg", "Hg", "Hg", "Hg", "Pd", "Pd", "Pd", "Pd", "Pd", "Pd", "Pd", "Pd"], "frac_coords": [[0.250, 0.250, 0.250], [0.750, 0.750, 0.750], [0.066, 0.644, 0.143], [0.144, 0.934, 0.643], [0.356, 0.566, 0.643], [0.434, 0.856, 0.143], [0.566, 0.144, 0.857], [0.644, 0.434, 0.357], [0.856, 0.066, 0.357], [0.934, 0.356, 0.857], [0.042, 0.626, 0.640], [0.126, 0.958, 0.140], [0.374, 0.542, 0.140], [0.458, 0.874, 0.640], [0.542, 0.126, 0.360], [0.626, 0.458, 0.860], [0.874, 0.042, 0.860], [0.958, 0.374, 0.360]], "spacegroup": "P4_2/n (86)"}

***

Record 3
{"formula": "La3HgPd", "functional": "PBE", "state": "relaxed", "cell": [[5.653, 0.000, 0.000], [0.000, 5.653, 0.000], [0.000, 0.000, 5.653]], "species": ["La", "La", "La", "Hg", "Pd"], "frac_coords": [[0.000, 0.000, 0.500], [0.000, 0.500, 0.000], [0.500, 0.000, 0.000], [0.500, 0.500, 0.500], [0.000, 0.000, 0.000]], "relative_energy_kcal_per_mol_atoms": 6.718, "spacegroup": "Pm-3m (221)"}

***

Record 4
{"formula": "La2HgPd9", "functional": "PBE", "state": "relaxed", "cell": [[2.715, 1.567, 9.042], [-2.715, 1.567, 9.042], [0.000, -3.135, 9.042]], "species": ["La", "La", "Hg", "Pd", "Pd", "Pd", "Pd", "Pd", "Pd", "Pd", "Pd", "Pd"], "frac_coords": [[0.133, 0.133, 0.133], [0.867, 0.867, 0.867], [0.000, 0.000, 0.000], [0.082, 0.586, 0.586], [0.333, 0.333, 0.333], [0.414, 0.414, 0.918], [0.414, 0.918, 0.414], [0.500, 0.500, 0.500], [0.586, 0.082, 0.586], [0.586, 0.586, 0.082], [0.667, 0.667, 0.667], [0.918, 0.414, 0.414]], "relative_energy_kcal_per_mol_atoms": 1.883, "spacegroup": "R-3m (166)"}

***

Record 5
{"formula": "LaHgPd3", "functional": "PBE", "state": "relaxed", "cell": [[5.036, 0.000, 0.000], [0.000, 5.036, 0.000], [0.000, 0.000, 5.036]], "species": ["La", "Hg", "Pd", "Pd", "Pd"], "frac_coords": [[0.000, 0.000, 0.000], [0.500, 0.500, 0.500], [0.000, 0.500, 0.500], [0.500, 0.000, 0.500], [0.500, 0.500, 0.000]], "relative_energy_kcal_per_mol_atoms": 10.567, "spacegroup": "Pm-3m (221)"}

***

Record 6
{"formula": "LaHgPd3", "functional": "PBE", "state": "relaxed", "cell": [[5.616, -4.594, 0.000], [5.616, 4.594, 0.000], [0.000, 0.000, 9.302]], "species": ["La", "La", "La", "La", "Hg", "Hg", "Hg", "Hg", "Pd", "Pd", "Pd", "Pd", "Pd", "Pd", "Pd", "Pd", "Pd", "Pd", "Pd", "Pd"], "frac_coords": [[0.023, 0.977, 0.750], [0.405, 0.595, 0.250], [0.595, 0.405, 0.750], [0.977, 0.023, 0.250], [0.000, 0.500, 0.000], [0.000, 0.500, 0.500], [0.500, 0.000, 0.000], [0.500, 0.000, 0.500], [0.181, 0.563, 0.750], [0.217, 0.783, 0.502], [0.217, 0.783, 0.998], [0.374, 0.374, 0.000], [0.374, 0.374, 0.500], [0.437, 0.819, 0.750], [0.563, 0.181, 0.250], [0.626, 0.626, 0.000], [0.626, 0.626, 0.500], [0.783, 0.217, 0.002], [0.783, 0.217, 0.498], [0.819, 0.437, 0.250]], "relative_energy_kcal_per_mol_atoms": 0.000, "spacegroup": "Cmcm (63)"}

***

Record 7
{"formula": "La5Hg4Pd", "functional": "PBE", "state": "relaxed", "cell": [[3.866, 0.000, 0.000], [0.000, 3.866, 0.000], [0.000, 0.000, 19.287]], "species": ["La", "La", "La", "La", "La", "Hg", "Hg", "Hg", "Hg", "Pd"], "frac_coords": [[0.000, 0.000, 0.000], [0.000, 0.000, 0.206], [0.000, 0.000, 0.413], [0.000, 0.000, 0.587], [0.000, 0.000, 0.794], [0.500, 0.500, 0.103], [0.500, 0.500, 0.306], [0.500, 0.500, 0.694], [0.500, 0.500, 0.897], [0.500, 0.500, 0.500]], "spacegroup": "P4/mmm (123)"}

***

Record 8
{"formula": "LaHg2Pd", "functional": "PBE", "state": "relaxed", "cell": [[3.354, 0.000, 0.000], [-1.677, 2.905, 0.000], [0.000, 0.000, 31.837]], "species": ["La", "La", "La", "Hg", "Hg", "Hg", "Hg", "Hg", "Hg", "Pd", "Pd", "Pd"], "frac_coords": [[0.000, 0.000, 0.000], [0.333, 0.667, 0.667], [0.667, 0.333, 0.333], [0.000, 0.000, 0.101], [0.000, 0.000, 0.899], [0.333, 0.667, 0.566], [0.333, 0.667, 0.768], [0.667, 0.333, 0.232], [0.667, 0.333, 0.434], [0.000, 0.000, 0.500], [0.333, 0.667, 0.167], [0.667, 0.333, 0.833]], "spacegroup": "R-3m (166)"}

***

| no. | calculated formation energy (meV/atom) | raw total energy (eV/atom) |
| --- | --- | --- |
| 1 | -619 | -5.46 |
| 2 | -209 | -3.20 |
| 3 | -194 | -4.25 |
| 4 | -480 | -5.22 |
| 5 | 77 | -4.08 |
| 6 | -381 | -4.54 |
| 7 | -549 | -3.65 |
| 8 | 90 | -2.59 |